Y2CuSb | PBE | optimized geometry

Geometry as POSCAR:
```
Y2CuSb
1.0
5.172 0.000 0.000
2.586 4.479 0.000
2.586 1.493 4.223
Y Cu Sb
2 1 1
direct
0.250 0.250 0.250
0.000 0.000 0.000
0.500 0.500 0.500
0.750 0.750 0.750
```

- symmetry = F-43m
- total DFT energy (no corrections) (eV/atom) = -5.22
- formation energy (no corrections) (eV/atom) = 0.066